# 1
# Tb2PrZr

Tb2PrZr after structural relaxation (PBE, Alexandria).

Properties
Space group: P4/mmm, No. 123
ΔE to the lowest computed polymorph: 0.028 eV/atom
Formation energy from the elements: 0.12 eV per atom
DFT total energy: -22.1 eV per formula unit

a = 4.9208 Å, b = 4.9208 Å, c = 4.9508 Å
α = 90.00°, β = 90.00°, γ = 90.00°
Sites, in units of the cell vectors:
Tb  0.0000  0.5000  0.0000
Tb  0.5000  0.0000  0.0000
Pr  0.0000  0.0000  0.5000
Zr  0.5000  0.5000  0.5000


# 2
# TbPrZr

TbPrZr after structural relaxation (PBE, Alexandria).

Properties
Space group: Pmma, No. 51
ΔE to the lowest computed polymorph: 0.152 eV/atom
Formation energy from the elements: 0.26 eV per atom
DFT total energy: -17.2 eV per formula unit

a = 6.3844 Å, b = 3.2970 Å, c = 8.5194 Å
α = 90.00°, β = 90.00°, γ = 90.00°
Sites, in units of the cell vectors:
Tb  0.0000  0.0000  0.0000
Tb  0.5000  0.0000  0.0000
Pr  0.2500  0.0000  0.3666
Pr  0.7500  0.0000  0.6334
Zr  0.2500  0.5000  0.7118
Zr  0.7500  0.5000  0.2882


# 3
# Tb12Pr3Zr

Tb12Pr3Zr after structural relaxation (PBE, Alexandria).

Properties
Space group: P4/mmm, No. 123
Formation energy from the elements: 0.04 eV per atom
DFT total energy: -77.8 eV per formula unit

a = 5.0388 Å, b = 5.0388 Å, c = 20.1517 Å
α = 90.00°, β = 90.00°, γ = 90.00°
Sites, in units of the cell vectors:
Tb  0.0000  0.0000  0.0000
Tb  0.0000  0.0000  0.2449
Tb  0.0000  0.0000  0.5000
Tb  0.0000  0.0000  0.7551
Tb  0.0000  0.5000  0.1156
Tb  0.0000  0.5000  0.3722
Tb  0.0000  0.5000  0.6278
Tb  0.0000  0.5000  0.8844
Tb  0.5000  0.0000  0.1156
Tb  0.5000  0.0000  0.3722
Tb  0.5000  0.0000  0.6278
Tb  0.5000  0.0000  0.8844
Pr  0.5000  0.5000  0.2467
Pr  0.5000  0.5000  0.5000
Pr  0.5000  0.5000  0.7533
Zr  0.5000  0.5000  0.0000


# 4
# TbPrZr

TbPrZr after structural relaxation (PBE, Alexandria).

Properties
Space group: P2_1/m, No. 11
ΔE to the lowest computed polymorph: 0.027 eV/atom
Formation energy from the elements: 0.14 eV per atom
DFT total energy: -17.5 eV per formula unit

a = 3.4181 Å, b = 4.8252 Å, c = 10.8927 Å
α = 90.00°, β = 98.89°, γ = 90.00°
Sites, in units of the cell vectors:
Tb  0.1394  0.2500  0.2755
Tb  0.8606  0.7500  0.7245
Pr  0.4457  0.2500  0.8976
Pr  0.5543  0.7500  0.1024
Zr  0.2831  0.2500  0.5678
Zr  0.7169  0.7500  0.4322


# 5
# Tb2PrZr

Tb2PrZr after structural relaxation (PBE, Alexandria).

Properties
Space group: Fm-3m, No. 225
ΔE to the lowest computed polymorph: 0.148 eV/atom
Formation energy from the elements: 0.24 eV per atom
DFT total energy: -21.6 eV per formula unit

a = 5.5561 Å, b = 5.5561 Å, c = 5.5561 Å
α = 60.00°, β = 60.00°, γ = 60.00°
Sites, in units of the cell vectors:
Tb  0.2500  0.2500  0.2500
Tb  0.7500  0.7500  0.7500
Pr  0.0000  0.0000  0.0000
Zr  0.5000  0.5000  0.5000


# 6
# Tb2PrZr

Tb2PrZr after structural relaxation (PBE, Alexandria).

Properties
Space group: R-3m, No. 166
ΔE to the lowest computed polymorph: 0.236 eV/atom
Formation energy from the elements: 0.33 eV per atom
DFT total energy: -21.3 eV per formula unit

a = 12.3025 Å, b = 12.3025 Å, c = 12.3025 Å
α = 15.89°, β = 15.89°, γ = 15.89°
Sites, in units of the cell vectors:
Tb  0.0849  0.0849  0.0849
Tb  0.9151  0.9151  0.9151
Pr  0.5000  0.5000  0.5000
Zr  0.0000  0.0000  0.0000


# 7
# TbPrZr

TbPrZr after structural relaxation (PBE, Alexandria).

Properties
Space group: P3m1, No. 156
ΔE to the lowest computed polymorph: 0.015 eV/atom
Formation energy from the elements: 0.13 eV per atom
DFT total energy: -17.6 eV per formula unit

a = 3.4638 Å, b = 3.4638 Å, c = 8.5701 Å
α = 90.00°, β = 90.00°, γ = 120.00°
Sites, in units of the cell vectors:
Tb  0.0000  0.0000  0.0000
Pr  0.6667  0.3333  0.3741
Zr  0.3333  0.6667  0.6934


# 8
# TbPrZr

TbPrZr after structural relaxation (PBE, Alexandria).

Properties
Space group: I4mm, No. 107
ΔE to the lowest computed polymorph: 0.000 eV/atom
Formation energy from the elements: 0.11 eV per atom
DFT total energy: -17.6 eV per formula unit

a = 7.9880 Å, b = 7.9880 Å, c = 7.9880 Å
α = 155.25°, β = 155.25°, γ = 35.28°
Sites, in units of the cell vectors:
Tb  0.0000  0.0000  0.0000
Pr  0.3102  0.3102  0.0000
Zr  0.6489  0.6489  0.0000


So what do the calculations give for magnetization? Going down the list: 0.0 0.0 0.0 0.0 1.5 0.0 0.0 0.0 μB per cell.